Below is a geometry-optimized Ac2PrHg4 structure, with properties calculated at the PBE-GGA level.

The formation energy from the elements is -0.079 eV per atom. The volume comes out at 40.28 Å³ per atom. For the uncorrected energy, the calculation gives -2.1082 eV/atom. The energy above the most stable polymorph in this dataset is 275 meV per atom.

The structure belongs to space group I4/mmm (No. 139); the cell edges are 5.832, 5.832 and 16.580 Å and the angles 90.00°, 90.00° and 90.00°. The distinct sites, in fractional coordinates, are Ac at (0.000, 0.000, 0.111), Pr at (0.000, 0.000, 0.500), Hg at (0.000, 0.000, 0.311) and Hg at (0.000, 0.500, 0.000).